Material: Np2Si4Tc3
Method: DFT, GGA-PBEsol
State: optimized geometry

Cell lengths 6.656, 7.965, 5.563 Å; angles 90.00, 104.28, 90.00 degrees
Space group P2_1/c (No. 14)
Unique sites:
Np 0.245 0.053 0.074 [4 per cell]
Si 0.075 0.749 0.274 [4 per cell]
Si 0.370 0.098 0.616 [4 per cell]
Tc 0.000 0.000 0.500 [2 per cell]
Tc 0.389 0.706 0.117 [4 per cell]

Results
DFT total energy in eV per atom: -9.8022
V in A^3/atom: 15.9

---

Material: KBaSiRh2
Method: DFT, GGA-PBEsol
State: optimized geometry

Cell lengths 4.561, 4.561, 5.767 Å; angles 90.00, 90.00, 90.00 degrees
Space group P4/mmm (No. 123)
Unique sites:
K 0.000 0.000 0.000 [1 per cell]
Ba 0.500 0.500 0.000 [1 per cell]
Si 0.500 0.500 0.500 [1 per cell]
Rh 0.000 0.500 0.500 [2 per cell]

Results
DFT total energy in eV per atom: -4.8472
V in A^3/atom: 24.0

---

Material: AlH3O3
Method: DFT, GGA-PBEsol
State: optimized geometry

Cell lengths 4.975, 6.984, 4.970 Å; angles 90.00, 90.00, 90.00 degrees
Space group Pnma (No. 62)
Unique sites:
Al 0.000 0.000 0.000 [4 per cell]
H 0.000 0.000 0.500 [4 per cell]
H 0.152 0.250 0.351 [4 per cell]
H 0.226 0.250 0.780 [4 per cell]
O 0.048 0.250 0.873 [4 per cell]
O 0.162 0.073 0.346 [8 per cell]

Results
DFT total energy in eV per atom: -6.0170
V in A^3/atom: 6.2

---

Material: Re2AgHg
Method: DFT, GGA-PBEsol
State: optimized geometry

Cell lengths 3.777, 3.777, 9.065 Å; angles 90.00, 90.00, 90.00 degrees
Space group I4/mmm (No. 139)
Unique sites:
Re 0.000 0.500 0.250 [4 per cell]
Ag 0.000 0.000 0.000 [2 per cell]
Hg 0.000 0.000 0.500 [2 per cell]

Results
DFT total energy in eV per atom: -6.7639
V in A^3/atom: 16.2
Formation energy in eV per atom: 0.87

---

Material: NiI2NCl
Method: DFT, GGA-PBEsol
State: optimized geometry

Cell lengths 6.346, 6.346, 3.245 Å; angles 90.00, 90.00, 90.00 degrees
Space group P4/mmm (No. 123)
Unique sites:
Ni 0.000 0.000 0.000 [1 per cell]
I 0.000 0.500 0.500 [2 per cell]
N 0.500 0.500 0.000 [1 per cell]
Cl 0.500 0.500 0.500 [1 per cell]

Results
DFT total energy in eV per atom: -2.5111
V in A^3/atom: 26.1

---

Material: TePAuO2
Method: DFT, GGA-PBEsol
State: optimized geometry

Cell lengths 4.037, 4.037, 4.830 Å; angles 90.00, 90.00, 90.00 degrees
Space group P4/mmm (No. 123)
Unique sites:
Te 0.000 0.000 0.000 [1 per cell]
P 0.500 0.500 0.000 [1 per cell]
Au 0.500 0.500 0.500 [1 per cell]
O 0.000 0.500 0.500 [2 per cell]

Results
DFT total energy in eV per atom: -4.3455
V in A^3/atom: 15.7

---

Material: Sr2CdAg
Method: DFT, GGA-PBEsol
State: optimized geometry

Cell lengths 4.814, 4.449, 11.929 Å; angles 90.00, 90.00, 90.00 degrees
Space group Amm2 (No. 38)
Unique sites:
Sr 0.000 0.000 0.000 [2 per cell]
Sr 0.500 0.000 0.285 [2 per cell]
Cd 0.500 0.000 0.575 [2 per cell]
Ag 0.000 0.000 0.710 [2 per cell]

Results
DFT total energy in eV per atom: -2.3264
V in A^3/atom: 31.9
Formation energy in eV per atom: -0.28

---

Material: PtSNF2
Method: DFT, GGA-PBEsol
State: optimized geometry

Cell lengths 4.474, 4.474, 3.198 Å; angles 90.00, 90.00, 90.00 degrees
Space group P4/mmm (No. 123)
Unique sites:
Pt 0.000 0.000 0.000 [1 per cell]
S 0.500 0.500 0.500 [1 per cell]
N 0.500 0.500 0.000 [1 per cell]
F 0.000 0.500 0.500 [2 per cell]

Results
DFT total energy in eV per atom: -4.0475
V in A^3/atom: 12.8